1.
Material: Li3TiP2O8
Method: DFT, meta-GGA SCAN
State: PBEsol geometry

Cell lengths 4.9234, 4.9234, 6.1242 Å; angles 90.41, 90.41, 67.01 degrees
With the nearest neighbours (Å) after each atom.
Fractional positions:
Li 0.0000 0.0000 0.0000  6 O 2.03-2.23
Li 0.3302 0.3302 0.7736  4 O 1.90-2.09
Li 0.6698 0.6698 0.2264  4 O 1.90-2.09
Ti 0.0000 0.0000 0.5000  6 O 2.01-2.06
P 0.3499 0.3499 0.2627  4 O 1.51-1.57
P 0.6501 0.6501 0.7373  4 O 1.51-1.57
O 0.2388 0.6958 0.2681  1 P 1.57
O 0.2438 0.2438 0.0604  1 P 1.51
O 0.2443 0.2443 0.4718  1 P 1.55
O 0.3042 0.7612 0.7319  1 P 1.57
O 0.6958 0.2388 0.2681  1 P 1.57
O 0.7557 0.7557 0.5282  1 P 1.55
O 0.7562 0.7562 0.9396  1 P 1.51
O 0.7612 0.3042 0.7319  1 P 1.57

Computed properties:
* uncorrected formation energy: -2.6989 eV per atom
* SG: C2/m
* total magnetization: 1.0 μB per formula unit
* V: 9.761 Å³ per atom
* polymorph energy (0 for the lowest one): 0.0 meV/atom

2.
Material: Li3Ti2P3O12
Method: DFT, meta-GGA SCAN
State: PBEsol geometry

Cell lengths 8.3976, 8.7672, 12.3419 Å; angles 90.00, 93.54, 90.00 degrees
With the nearest neighbours (Å) after each atom.
Fractional positions:
Li 0.0000 0.0000 0.0000  6 O 2.20-2.30
Li 0.0000 0.0000 0.5000  6 O 2.20-2.30
Li 0.0000 0.1007 0.2500  4 O 2.08-2.11
Li 0.0000 0.8993 0.7500  4 O 2.08-2.11
Li 0.2492 0.3107 0.5603  4 O 2.06-2.18
Li 0.2492 0.6893 0.0603  4 O 2.06-2.18
Li 0.5000 0.3989 0.2500  4 O 2.09-2.14
Li 0.5000 0.5000 0.0000  6 O 2.18-2.22
Li 0.5000 0.5000 0.5000  6 O 2.18-2.22
Li 0.5000 0.6011 0.7500  4 O 2.09-2.14
Li 0.7508 0.3107 0.9397  4 O 2.06-2.18
Li 0.7508 0.6893 0.4397  4 O 2.06-2.18
Ti 0.2149 0.4972 0.8555  6 O 1.93-2.10
Ti 0.2149 0.5028 0.3555  6 O 1.93-2.10
Ti 0.2866 0.0031 0.1450  6 O 1.94-2.07
Ti 0.2866 0.9969 0.6450  6 O 1.94-2.07
Ti 0.7134 0.0031 0.3550  6 O 1.94-2.07
Ti 0.7134 0.9969 0.8550  6 O 1.94-2.07
Ti 0.7851 0.4972 0.6445  6 O 1.93-2.10
Ti 0.7851 0.5028 0.1445  6 O 1.93-2.10
P 0.0000 0.2022 0.7500  4 O 1.53-1.56
P 0.0000 0.7978 0.2500  4 O 1.53-1.56
P 0.1582 0.3574 0.1042  4 O 1.53-1.56
P 0.1582 0.6426 0.6042  4 O 1.53-1.56
P 0.3403 0.1433 0.3964  4 O 1.52-1.57
P 0.3403 0.8567 0.8964  4 O 1.52-1.57
P 0.5000 0.3008 0.7500  4 O 1.53-1.56
P 0.5000 0.6992 0.2500  4 O 1.53-1.56
P 0.6597 0.1433 0.1036  4 O 1.52-1.57
P 0.6597 0.8567 0.6036  4 O 1.52-1.57
P 0.8418 0.3574 0.3958  4 O 1.53-1.56
P 0.8418 0.6426 0.8958  4 O 1.53-1.56
O 0.0181 0.4029 0.3962  1 P 1.53
O 0.0181 0.5971 0.8962  1 P 1.53
O 0.0656 0.0946 0.6628  1 P 1.56
O 0.0656 0.9054 0.1628  1 P 1.56
O 0.1267 0.3033 0.8083  1 P 1.53
O 0.1267 0.6967 0.3083  1 P 1.53
O 0.1599 0.1838 0.0839  1 P 1.54
O 0.1599 0.8162 0.5839  1 P 1.54
O 0.2437 0.0907 0.4926  1 P 1.55
O 0.2441 0.1001 0.2905  1 P 1.54
O 0.2441 0.8999 0.7905  1 P 1.54
O 0.2437 0.9093 0.9926  1 P 1.55
O 0.2475 0.4020 0.2132  1 P 1.55
O 0.2475 0.5980 0.7132  1 P 1.55
O 0.2487 0.4478 0.0186  1 P 1.56
O 0.2487 0.5522 0.5186  1 P 1.56
O 0.3574 0.3198 0.4127  1 P 1.57
O 0.3574 0.6802 0.9127  1 P 1.57
O 0.3691 0.2053 0.6904  1 P 1.53
O 0.3691 0.7947 0.1904  1 P 1.53
O 0.4387 0.4090 0.8387  1 P 1.56
O 0.4387 0.5910 0.3387  1 P 1.56
O 0.4913 0.0793 0.1051  1 P 1.52
O 0.4913 0.9207 0.6051  1 P 1.52
O 0.5087 0.0793 0.3949  1 P 1.52
O 0.5087 0.9207 0.8949  1 P 1.52
O 0.5613 0.4090 0.6613  1 P 1.56
O 0.5613 0.5910 0.1613  1 P 1.56
O 0.6309 0.2053 0.8096  1 P 1.53
O 0.6309 0.7947 0.3096  1 P 1.53
O 0.6426 0.3198 0.0873  1 P 1.57
O 0.6426 0.6802 0.5873  1 P 1.57
O 0.7513 0.4478 0.4814  1 P 1.56
O 0.7513 0.5522 0.9814  1 P 1.56
O 0.7525 0.4020 0.2868  1 P 1.55
O 0.7525 0.5980 0.7868  1 P 1.55
O 0.7563 0.0907 0.0074  1 P 1.55
O 0.7559 0.1001 0.2095  1 P 1.54
O 0.7559 0.8999 0.7095  1 P 1.54
O 0.7563 0.9093 0.5074  1 P 1.55
O 0.8401 0.1838 0.4161  1 P 1.54
O 0.8401 0.8162 0.9161  1 P 1.54
O 0.8733 0.3033 0.6917  1 P 1.53
O 0.8733 0.6967 0.1917  1 P 1.53
O 0.9344 0.0946 0.8372  1 P 1.56
O 0.9344 0.9054 0.3372  1 P 1.56
O 0.9819 0.4029 0.1038  1 P 1.53
O 0.9819 0.5971 0.6038  1 P 1.53

Computed properties:
* uncorrected formation energy: -2.7040 eV per atom
* DOS(E_F): 0.051 states/eV/atom
* SG: P2/c
* total magnetization: 2.0 μB per formula unit
* V: 11.336 Å³ per atom
* polymorph energy (0 for the lowest one): 39.5 meV/atom

The lowest polymorph energy (0 for the lowest one) belongs to which entry?
Li3TiP2O8